1.
Computed, not measured: crystalline Tb4DyBi2 at its relaxed geometry at the PBE-GGA level of DFT.

It has space group I4/mmm (No. 139), with a = 5.334 Å, b = 5.334 Å, c = 16.812 Å, α = 90.00°, β = 90.00° and γ = 90.00°. The inequivalent atoms are Tb at (0.000, 0.000, 0.181), Tb at (0.000, 0.500, 0.000), Dy at (0.000, 0.000, 0.000) and Bi at (0.000, 0.000, 0.365).

Its formation energy is 0.28 eV/atom. Its density of states at the Fermi level is 11.91 states/eV/cell. The calculation puts the total DFT energy (no corrections) at -4.136 eV/atom.

***

2.
Computed, not measured: crystalline Tb3DyBi2 at its relaxed geometry at the PBE-GGA level of DFT.

It has space group P-4m2 (No. 115), with a = 4.558 Å, b = 4.558 Å, c = 8.663 Å, α = 90.00°, β = 90.00° and γ = 90.00°. The inequivalent atoms are Tb at (0.000, 0.000, 0.000), Tb at (0.000, 0.500, 0.653), Dy at (0.500, 0.500, 0.000) and Bi at (0.000, 0.500, 0.283).

Its formation energy is -0.61 eV/atom. Its density of states at the Fermi level is 4.59 states/eV/cell. The calculation puts the total DFT energy (no corrections) at -4.981 eV/atom.